KCoBr2: optimized geometry, GGA-PBE.

Computed properties:
The energy above the most stable polymorph in this dataset comes out at 0.039 eV per atom. The total energy is -3.495 eV/atom. Its formation energy from raw total energies is -2.4 eV per formula unit.

Cell lengths 6.772, 6.772, 5.115 Å; angles 96.70, 96.70, 35.46 degrees
Last column: magnetic moment on the atom in μB.
Element x y z (fractional)
K (0.751, 0.751, 0.836)  0.00
Co (0.454, 0.454, 0.558)  1.87
Br (0.017, 0.017, 0.764)  0.04
Br (0.278, 0.278, 0.343)  0.02

***

KCoBr2: optimized geometry, GGA-PBE.

Computed properties:
The energy above the most stable polymorph in this dataset comes out at 0.170 eV per atom. The total energy is -3.365 eV/atom. Its formation energy from raw total energies is -1.9 eV per formula unit.

Cell lengths 3.894, 3.894, 7.646 Å; angles 90.00, 90.00, 89.97 degrees
Last column: magnetic moment on the atom in μB.
Element x y z (fractional)
Br (0.500, 0.500, 0.384)  0.04
Br (0.000, 0.000, 0.995)  0.01
K (0.500, 0.500, 0.804)  0.00
Co (0.000, 0.000, 0.316)  1.89

***

KCoBr2: optimized geometry, GGA-PBE.

Computed properties:
The energy above the most stable polymorph in this dataset comes out at 0.084 eV per atom. The total energy is -3.450 eV/atom. Its formation energy from raw total energies is -2.3 eV per formula unit.

Cell lengths 5.849, 5.849, 5.849 Å; angles 141.83, 110.49, 82.17 degrees
Last column: magnetic moment on the atom in μB.
Element x y z (fractional)
Br (0.566, 0.566, 0.000)  0.07
Br (0.934, 0.934, 0.000)  0.07
K (0.250, 0.750, 0.500)  0.00
Co (0.750, 0.250, 0.500)  1.85

***

K2CoBr: optimized geometry, GGA-PBE.

Computed properties:
The energy above the most stable polymorph in this dataset comes out at 0.066 eV per atom. The total energy is -2.761 eV/atom. Its formation energy from raw total energies is -0.1 eV per formula unit.

Cell lengths 4.804, 4.804, 6.912 Å; angles 90.00, 90.00, 90.00 degrees
Last column: magnetic moment on the atom in μB.
Element x y z (fractional)
K (0.500, 0.500, 0.374)  0.00
K (0.000, 0.000, 0.875)  -0.01
Co (0.500, 0.500, 0.874)  2.00
Br (0.000, 0.000, 0.376)  0.00

***

KCo3Br: optimized geometry, GGA-PBE.

Computed properties:
The energy above the most stable polymorph in this dataset comes out at 0.000 eV per atom. The total energy is -3.657 eV/atom. Its formation energy from raw total energies is 5.8 eV per formula unit.

Cell lengths 4.542, 4.542, 4.542 Å; angles 90.00, 90.00, 90.00 degrees
Last column: magnetic moment on the atom in μB.
Element x y z (fractional)
Co (0.000, 0.000, 0.500)  1.06
Co (0.000, 0.500, 0.000)  1.22
Co (0.500, 0.000, 0.000)  1.19
K (0.500, 0.500, 0.500)  -0.04
Br (0.000, 0.000, 0.000)  -0.01

***

K4CoBr: optimized geometry, GGA-PBE.

Computed properties:
The total energy is -1.788 eV/atom. Its formation energy from raw total energies is 2.4 eV per formula unit.

Cell lengths 7.484, 7.484, 7.484 Å; angles 60.00, 60.00, 60.00 degrees
Last column: magnetic moment on the atom in μB.
Element x y z (fractional)
K (0.875, 0.375, 0.375)  -0.01
K (0.375, 0.375, 0.875)  -0.01
K (0.375, 0.875, 0.375)  -0.01
K (0.375, 0.375, 0.375)  -0.01
Co (0.000, 0.000, 0.000)  2.16
Br (0.750, 0.750, 0.750)  0.00